# 1
This record from Alexandria describes a relaxed structure of CaSiTc2P. The functional is GGA-PBEsol.

**Spin magnetization**: 0.46 Bohr magnetons per cell
**Raw formation energy**: 0.42 eV/atom
**DFT total energy**: -34.12 eV per cell

abc: 4.408 4.408 4.701
angles: 90.00 90.00 90.00
Space group P4/mmm (No. 123)
Unique sites:
Ca 0.000 0.000 0.000 (multiplicity 1)
Si 0.500 0.500 0.000 (multiplicity 1)
Tc 0.000 0.500 0.500 (multiplicity 2)
P 0.500 0.500 0.500 (multiplicity 1)

=====

# 2
This record from Alexandria describes a relaxed structure of Sr3CaP. The functional is GGA-PBEsol.

**ΔH_f (0 K)**: -2.21 eV per formula unit
**Spin magnetization**: 0.55 Bohr magnetons per cell
**DFT total energy**: -15.66 eV per cell

abc: 5.956 5.956 5.956
angles: 90.00 90.00 90.00
Space group Pm-3m (No. 221)
Unique sites:
Sr 0.000 0.000 0.500 (multiplicity 3)
Ca 0.500 0.500 0.500 (multiplicity 1)
P 0.000 0.000 0.000 (multiplicity 1)

=====

# 3
This record from Alexandria describes a relaxed structure of Sr2CaP. The functional is GGA-PBEsol.

**ΔH_f (0 K)**: -2.23 eV per formula unit
**Spin magnetization**: 0.00 Bohr magnetons per cell
**DFT total energy**: -27.67 eV per cell

abc: 7.438 4.289 10.771
angles: 90.00 103.14 90.00
Space group C2/m (No. 12)
Unique sites:
Sr 0.217 0.000 0.152 (multiplicity 4)
Ca 0.000 0.000 0.500 (multiplicity 2)
P 0.000 0.500 0.000 (multiplicity 2)

=====

# 4
This record from Alexandria describes a relaxed structure of Sr2CaP. The functional is GGA-PBEsol.

**ΔH_f (0 K)**: -1.99 eV per formula unit
**Spin magnetization**: 0.41 Bohr magnetons per cell
**DFT total energy**: -13.59 eV per cell

abc: 3.759 3.759 9.858
angles: 90.00 90.00 90.00
Space group P4mm (No. 99)
Unique sites:
Sr 0.000 0.000 0.000 (multiplicity 1)
Sr 0.500 0.500 0.361 (multiplicity 1)
Ca 0.000 0.000 0.692 (multiplicity 1)
P 0.500 0.500 0.829 (multiplicity 1)

=====

# 5
This record from Alexandria describes a relaxed structure of SrCa2P2. The functional is GGA-PBEsol.

**ΔH_f (0 K)**: -4.68 eV per formula unit
**Spin magnetization**: 0.00 Bohr magnetons per cell
**DFT total energy**: -44.73 eV per cell

abc: 8.086 8.086 3.814
angles: 90.00 90.00 90.00
Space group P4/mbm (No. 127)
Unique sites:
Sr 0.000 0.000 0.000 (multiplicity 2)
Ca 0.136 0.364 0.500 (multiplicity 4)
P 0.167 0.667 0.000 (multiplicity 4)

=====

# 6
This record from Alexandria describes a relaxed structure of Sr3CaP. The functional is GGA-PBEsol.

**ΔH_f (0 K)**: 5.05 eV per formula unit
**Spin magnetization**: 2.83 Bohr magnetons per cell
**DFT total energy**: -8.40 eV per cell

abc: 6.127 6.127 6.127
angles: 90.00 90.00 90.00
Space group Pm-3m (No. 221)
Unique sites:
Sr 0.000 0.000 0.500 (multiplicity 3)
Ca 0.000 0.000 0.000 (multiplicity 1)
P 0.500 0.500 0.500 (multiplicity 1)

=====

# 7
This record from Alexandria describes a relaxed structure of SrCa3P. The functional is GGA-PBEsol.

**ΔH_f (0 K)**: -2.32 eV per formula unit
**Spin magnetization**: 1.04 Bohr magnetons per cell
**DFT total energy**: -16.35 eV per cell

abc: 5.668 5.668 5.668
angles: 90.00 90.00 90.00
Space group Pm-3m (No. 221)
Unique sites:
Sr 0.000 0.000 0.000 (multiplicity 1)
Ca 0.000 0.500 0.500 (multiplicity 3)
P 0.500 0.500 0.500 (multiplicity 1)

=====

# 8
This record from Alexandria describes a relaxed structure of Sr2CaZrP. The functional is GGA-PBEsol.

**ΔH_f (0 K)**: 1.52 eV per formula unit
**Spin magnetization**: 0.00 Bohr magnetons per cell
**DFT total energy**: -19.17 eV per cell

abc: 6.204 6.204 4.960
angles: 90.00 90.00 90.00
Space group P4/mmm (No. 123)
Unique sites:
Sr 0.000 0.500 0.000 (multiplicity 2)
Ca 0.000 0.000 0.500 (multiplicity 1)
Zr 0.500 0.500 0.000 (multiplicity 1)
P 0.500 0.500 0.500 (multiplicity 1)

=====

# 9
This record from Alexandria describes a relaxed structure of Ca2TaP. The functional is GGA-PBEsol.

**ΔH_f (0 K)**: 0.31 eV per formula unit
**Spin magnetization**: 0.00 Bohr magnetons per cell
**DFT total energy**: -22.30 eV per cell

abc: 3.032 3.032 9.229
angles: 90.00 90.00 90.00
Space group P4/mmm (No. 123)
Unique sites:
Ca 0.000 0.000 0.217 (multiplicity 2)
Ta 0.500 0.500 0.500 (multiplicity 1)
P 0.500 0.500 0.000 (multiplicity 1)

=====

# 10
This record from Alexandria describes a relaxed structure of Ca2TcP. The functional is GGA-PBEsol.

**ΔH_f (0 K)**: -1.45 eV per formula unit
**Spin magnetization**: 0.00 Bohr magnetons per cell
**DFT total energy**: -22.77 eV per cell

abc: 3.207 3.207 8.333
angles: 90.00 90.00 90.00
Space group P4mm (No. 99)
Unique sites:
Ca 0.000 0.000 0.000 (multiplicity 1)
Ca 0.500 0.500 0.400 (multiplicity 1)
Tc 0.500 0.500 0.746 (multiplicity 1)
P 0.000 0.000 0.635 (multiplicity 1)

=====

# 11
This record from Alexandria describes a relaxed structure of Ca2TeP. The functional is GGA-PBEsol.

**Spin magnetization**: 0.00 Bohr magnetons per cell
**Raw formation energy**: -0.99 eV/atom
**DFT total energy**: -35.09 eV per cell

abc: 6.743 7.642 3.825
angles: 90.00 90.12 90.00
Space group C2/m (No. 12)
Unique sites:
Ca 0.250 0.250 0.000 (multiplicity 4)
Te 0.000 0.000 0.500 (multiplicity 2)
P 0.000 0.500 0.500 (multiplicity 2)

=====

# 12
This record from Alexandria describes a relaxed structure of CaTeP4. The functional is GGA-PBEsol.

**Spin magnetization**: 0.00 Bohr magnetons per cell
**Raw formation energy**: -0.14 eV/atom
**DFT total energy**: -118.55 eV per cell

abc: 8.119 8.119 8.119
angles: 90.00 90.00 90.00
Space group F-43m (No. 216)
Unique sites:
Ca 0.000 0.000 0.000 (multiplicity 4)
Te 0.250 0.250 0.750 (multiplicity 4)
P 0.097 0.097 0.403 (multiplicity 16)